{
  "formula": "KCu2SeO6",
  "functional": "PBE",
  "state": "relaxed",
  "formation_energy_uncorrected_ev_per_atom": -0.77,
  "total_magnetization_mub_per_cell": 0.0,
  "energy_ev_per_atom": -5.027,
  "lattice_angstrom": [[4.353, -5.684, 0.000], [4.353, 5.684, 0.000], [-2.380, 0.000, 6.912]],
  "species": ["K", "K", "Cu", "Cu", "Cu", "Cu", "Se", "Se", "O", "O", "O", "O", "O", "O", "O", "O", "O", "O", "O", "O"],
  "frac_coords": [[0.206, 0.794, 0.750], [0.794, 0.206, 0.250], [0.351, 0.380, 0.824], [0.380, 0.351, 0.324], [0.620, 0.649, 0.676], [0.649, 0.620, 0.176], [0.112, 0.888, 0.250], [0.888, 0.112, 0.750], [0.113, 0.726, 0.057], [0.125, 0.150, 0.715], [0.150, 0.125, 0.215], [0.274, 0.887, 0.443], [0.375, 0.440, 0.586], [0.440, 0.375, 0.086], [0.560, 0.625, 0.914], [0.625, 0.560, 0.414], [0.726, 0.113, 0.557], [0.850, 0.875, 0.785], [0.875, 0.850, 0.285], [0.887, 0.274, 0.943]]
}



{
  "formula": "MgGaICl4",
  "functional": "PBE",
  "state": "relaxed",
  "formation_energy_uncorrected_ev_per_atom": -1.22,
  "total_magnetization_mub_per_cell": 0.0,
  "energy_ev_per_atom": -3.155,
  "lattice_angstrom": [[8.553, -3.592, 0.000], [8.553, 3.592, 0.000], [-0.480, 0.000, 9.564]],
  "species": ["Mg", "Mg", "Ga", "Ga", "I", "I", "Cl", "Cl", "Cl", "Cl", "Cl", "Cl", "Cl", "Cl"],
  "frac_coords": [[0.087, 0.087, 0.105], [0.913, 0.913, 0.895], [0.370, 0.370, 0.700], [0.630, 0.630, 0.300], [0.065, 0.065, 0.818], [0.935, 0.935, 0.182], [0.080, 0.571, 0.830], [0.307, 0.307, 0.503], [0.429, 0.920, 0.170], [0.495, 0.495, 0.713], [0.505, 0.505, 0.287], [0.571, 0.080, 0.830], [0.693, 0.693, 0.497], [0.920, 0.429, 0.170]]
}



{
  "formula": "AcGePdPb",
  "functional": "PBE",
  "state": "relaxed",
  "formation_energy_ev_per_atom": -0.38,
  "total_magnetization_mub_per_cell": 0.0,
  "energy_ev_per_atom": -4.792,
  "lattice_angstrom": [[0.000, 3.712, 3.712], [3.712, 0.000, 3.712], [3.712, 3.712, 0.000]],
  "species": ["Ac", "Ge", "Pd", "Pb"],
  "frac_coords": [[0.000, 0.000, 0.000], [0.250, 0.250, 0.250], [0.750, 0.750, 0.750], [0.500, 0.500, 0.500]]
}